No. 1
First-principles (PBE) data for a relaxed structure of LaYHg6, as listed in OQMD via LeMat-Bulk.

Geometry as CIF:
```
data_LaYHg6
_cell_length_a 6.6825
_cell_length_b 6.6825
_cell_length_c 5.0548
_cell_angle_alpha 90.00
_cell_angle_beta 90.00
_cell_angle_gamma 120.00
_space_group_name_H-M_alt 'P -6 m 2'
_space_group_IT_number 187
_space_group_name_Hall 'P -6 2'
loop_
_atom_site_label
_atom_site_type_symbol
_atom_site_fract_x
_atom_site_fract_y
_atom_site_fract_z
La1 La 0.0000 0.0000 0.0000
Y1 Y 0.3333 0.6667 0.5000
Hg1 Hg 0.0003 0.5002 0.0000
Hg2 Hg 0.3439 0.1720 0.5000
```

Calculated values
Formation enthalpy at 0 K (eV per atom): -0.383

=====

No. 2
First-principles (PBE) data for a relaxed structure of LaZnHg, as listed in OQMD via LeMat-Bulk.

Geometry as CIF:
```
data_LaZnHg
_cell_length_a 11.082
_cell_length_b 4.809
_cell_length_c 7.535
_cell_angle_alpha 90.00
_cell_angle_beta 131.93
_cell_angle_gamma 90.00
_space_group_name_H-M_alt 'C 1 2/m 1'
_space_group_IT_number 12
_space_group_name_Hall '-C 2y'
loop_
_atom_site_label
_atom_site_type_symbol
_atom_site_fract_x
_atom_site_fract_y
_atom_site_fract_z
La1 La 0.022 0.000 0.279
Zn1 Zn 0.154 0.500 0.114
Hg1 Hg 0.178 0.500 0.719
```

Calculated values
Formation enthalpy at 0 K (eV per atom): -0.438

=====

No. 3
First-principles (PBE) data for a relaxed structure of LaZnHg, as listed in OQMD via LeMat-Bulk.

Geometry as CIF:
```
data_LaZnHg
_cell_length_a 7.211
_cell_length_b 7.211
_cell_length_c 7.211
_cell_angle_alpha 90.00
_cell_angle_beta 90.00
_cell_angle_gamma 90.00
_space_group_name_H-M_alt 'F -4 3 m'
_space_group_IT_number 216
_space_group_name_Hall 'F -4 2 3'
loop_
_atom_site_label
_atom_site_type_symbol
_atom_site_fract_x
_atom_site_fract_y
_atom_site_fract_z
La1 La 0.000 0.000 0.000
Zn1 Zn 0.250 0.250 0.750
Hg1 Hg 0.250 0.250 0.250
```

Calculated values
Formation enthalpy at 0 K (eV per atom): -0.027

=====

No. 4
First-principles (PBE) data for a relaxed structure of La2ZnHg3, as listed in OQMD via LeMat-Bulk.

Geometry as CIF:
```
data_La2ZnHg3
_cell_length_a 7.282
_cell_length_b 9.919
_cell_length_c 17.208
_cell_angle_alpha 90.00
_cell_angle_beta 90.00
_cell_angle_gamma 90.00
_space_group_name_H-M_alt 'F m m m'
_space_group_IT_number 69
_space_group_name_Hall '-F 2 2'
loop_
_atom_site_label
_atom_site_type_symbol
_atom_site_fract_x
_atom_site_fract_y
_atom_site_fract_z
La1 La 0.241 0.000 0.000
La2 La 0.250 0.250 0.250
Zn1 Zn 0.000 0.000 0.333
Hg1 Hg 0.000 0.000 0.172
Hg2 Hg 0.000 0.240 0.414
```

Calculated values
Formation enthalpy at 0 K (eV per atom): -0.467

=====

No. 5
First-principles (PBE) data for a relaxed structure of LiHg, as listed in OQMD via LeMat-Bulk.

Geometry as CIF:
```
data_LiHg
_cell_length_a 5.984
_cell_length_b 5.984
_cell_length_c 5.984
_cell_angle_alpha 90.00
_cell_angle_beta 90.00
_cell_angle_gamma 90.00
_space_group_name_H-M_alt 'F -4 3 m'
_space_group_IT_number 216
_space_group_name_Hall 'F -4 2 3'
loop_
_atom_site_label
_atom_site_type_symbol
_atom_site_fract_x
_atom_site_fract_y
_atom_site_fract_z
Li1 Li 0.000 0.000 0.000
Hg1 Hg 0.250 0.250 0.250
```

=====

No. 6
First-principles (PBE) data for a relaxed structure of Li7Hg2, as listed in OQMD via LeMat-Bulk.

Geometry as CIF:
```
data_Li7Hg2
_cell_length_a 4.5473
_cell_length_b 4.5473
_cell_length_c 8.3189
_cell_angle_alpha 90.00
_cell_angle_beta 90.00
_cell_angle_gamma 120.00
_space_group_name_H-M_alt 'P -3 m 1'
_space_group_IT_number 164
_space_group_name_Hall '-P 3 2"'
loop_
_atom_site_label
_atom_site_type_symbol
_atom_site_fract_x
_atom_site_fract_y
_atom_site_fract_z
Li1 Li 0.0000 0.0000 0.0000
Li2 Li 0.0000 0.0000 0.3297
Li3 Li 0.3333 0.6667 0.5656
Li4 Li 0.3333 0.6667 0.8934
Hg1 Hg 0.3333 0.6667 0.2289
```

=====

No. 7
First-principles (PBE) data for a relaxed structure of Li4Hg3, as listed in OQMD via LeMat-Bulk.

Geometry as CIF:
```
data_Li4Hg3
_cell_length_a 21.537
_cell_length_b 3.411
_cell_length_c 3.407
_cell_angle_alpha 90.00
_cell_angle_beta 98.65
_cell_angle_gamma 90.00
_space_group_name_H-M_alt 'C 1 2/m 1'
_space_group_IT_number 12
_space_group_name_Hall '-C 2y'
loop_
_atom_site_label
_atom_site_type_symbol
_atom_site_fract_x
_atom_site_fract_y
_atom_site_fract_z
Li1 Li 0.073 0.000 0.072
Li2 Li 0.214 0.000 0.212
Hg1 Hg 0.000 0.500 0.500
Hg2 Hg 0.149 0.500 0.647
```

=====

No. 8
First-principles (PBE) data for a relaxed structure of LiHg3, as listed in OQMD via LeMat-Bulk.

Geometry as CIF:
```
data_LiHg3
_cell_length_a 6.4760
_cell_length_b 6.4760
_cell_length_c 4.8992
_cell_angle_alpha 90.00
_cell_angle_beta 90.00
_cell_angle_gamma 120.00
_space_group_name_H-M_alt 'P 63/m m c'
_space_group_IT_number 194
_space_group_name_Hall '-P 6c 2c'
loop_
_atom_site_label
_atom_site_type_symbol
_atom_site_fract_x
_atom_site_fract_y
_atom_site_fract_z
Li1 Li 0.3333 0.6667 0.2500
Hg1 Hg 0.1715 0.3430 0.7500
```

=====

No. 9
First-principles (PBE) data for a relaxed structure of LiHg, as listed in OQMD via LeMat-Bulk.

Geometry as CIF:
```
data_LiHg
_cell_length_a 3.312
_cell_length_b 3.312
_cell_length_c 3.312
_cell_angle_alpha 90.00
_cell_angle_beta 90.00
_cell_angle_gamma 90.00
_space_group_name_H-M_alt 'P m -3 m'
_space_group_IT_number 221
_space_group_name_Hall '-P 4 2 3'
loop_
_atom_site_label
_atom_site_type_symbol
_atom_site_fract_x
_atom_site_fract_y
_atom_site_fract_z
Li1 Li 0.000 0.000 0.000
Hg1 Hg 0.500 0.500 0.500
```

=====

No. 10
First-principles (PBE) data for a relaxed structure of Li5Hg2, as listed in OQMD via LeMat-Bulk.

Geometry as CIF:
```
data_Li5Hg2
_cell_length_a 4.5110
_cell_length_b 4.5110
_cell_length_c 19.8845
_cell_angle_alpha 90.00
_cell_angle_beta 90.00
_cell_angle_gamma 120.00
_space_group_name_H-M_alt 'R -3 m'
_space_group_IT_number 166
_space_group_name_Hall '-R 3 2"'
loop_
_atom_site_label
_atom_site_type_symbol
_atom_site_fract_x
_atom_site_fract_y
_atom_site_fract_z
Li1 Li 0.0000 0.0000 0.0000
Li2 Li 0.0000 0.0000 0.1450
Li3 Li 0.0000 0.0000 0.2869
Hg1 Hg 0.0000 0.0000 0.4239
```

=====

No. 11
First-principles (PBE) data for a relaxed structure of Li2LuHg, as listed in OQMD via LeMat-Bulk.

Geometry as CIF:
```
data_Li2LuHg
_cell_length_a 6.871
_cell_length_b 6.871
_cell_length_c 6.871
_cell_angle_alpha 90.00
_cell_angle_beta 90.00
_cell_angle_gamma 90.00
_space_group_name_H-M_alt 'F -4 3 m'
_space_group_IT_number 216
_space_group_name_Hall 'F -4 2 3'
loop_
_atom_site_label
_atom_site_type_symbol
_atom_site_fract_x
_atom_site_fract_y
_atom_site_fract_z
Li1 Li 0.000 0.000 0.000
Li2 Li 0.250 0.250 0.250
Lu1 Lu 0.250 0.250 0.750
Hg1 Hg 0.000 0.000 0.500
```

=====

No. 12
First-principles (PBE) data for a relaxed structure of LiLuMgHg, as listed in OQMD via LeMat-Bulk.

Geometry as CIF:
```
data_LiLuMgHg
_cell_length_a 6.931
_cell_length_b 6.931
_cell_length_c 6.931
_cell_angle_alpha 90.00
_cell_angle_beta 90.00
_cell_angle_gamma 90.00
_space_group_name_H-M_alt 'F -4 3 m'
_space_group_IT_number 216
_space_group_name_Hall 'F -4 2 3'
loop_
_atom_site_label
_atom_site_type_symbol
_atom_site_fract_x
_atom_site_fract_y
_atom_site_fract_z
Li1 Li 0.000 0.000 0.000
Lu1 Lu 0.250 0.250 0.250
Mg1 Mg 0.250 0.250 0.750
Hg1 Hg 0.000 0.000 0.500
```

=====

Electronic total energy list, top to bottom, in eV for the cell shown: -16.24, -31.20, -26.27, -118.43, -8.28, -16.15, -21.93, -7.13, -2.95, -36.44, -37.54, -37.81